Record 1
Below is an optimized crystal structure of Sc2Cu2Pd, with properties calculated at the PBE level.

Structure (CIF):
```
data_Sc2Cu2Pd
_chemical_formula_sum 'Sc2 Cu2 Pd1'
_space_group_name_H-M_alt 'P 1'
_space_group_IT_number 1
_cell_length_a 3.359
_cell_length_b 3.359
_cell_length_c 8.224
_cell_angle_alpha 78.22
_cell_angle_beta 78.22
_cell_angle_gamma 90.00
loop_
_space_group_symop_operation_xyz
'x,y,z'
loop_
_atom_site_label
_atom_site_fract_x
_atom_site_fract_y
_atom_site_fract_z
Cu1 0.750 0.250 0.500
Sc1 0.397 0.397 0.206
Cu2 0.250 0.750 0.500
Pd1 0.000 0.000 0.000
Sc2 0.603 0.603 0.794
```

Summary:
For the magnetic moment, the calculation gives 0.00 μB/f.u. The value obtained for the formation energy is -1.39 eV per formula unit. The relative energy among the computed polymorphs is 226 meV per atom.

=====

Record 2
Below is an optimized crystal structure of Sc6Cu2Pd, with properties calculated at the PBE level.

Structure (CIF):
```
data_Sc6Cu2Pd
_chemical_formula_sum 'Sc12 Cu4 Pd2'
_space_group_name_H-M_alt 'P 1'
_space_group_IT_number 1
_cell_length_a 7.774
_cell_length_b 7.774
_cell_length_c 7.774
_cell_angle_alpha 109.33
_cell_angle_beta 111.31
_cell_angle_gamma 107.79
loop_
_space_group_symop_operation_xyz
'x,y,z'
loop_
_atom_site_label
_atom_site_fract_x
_atom_site_fract_y
_atom_site_fract_z
Cu1 0.641 0.000 0.641
Cu2 0.359 0.000 0.359
Sc1 0.803 0.250 0.053
Sc2 0.282 0.607 0.325
Sc3 0.552 0.732 0.819
Sc4 0.718 0.393 0.675
Sc5 0.913 0.732 0.181
Sc6 0.803 0.750 0.553
Pd1 0.000 0.500 0.500
Cu3 0.500 0.630 0.130
Sc7 0.197 0.750 0.947
Sc8 0.718 0.043 0.325
Pd2 0.000 0.000 0.000
Sc9 0.087 0.268 0.819
Cu4 0.500 0.370 0.870
Sc10 0.197 0.250 0.447
Sc11 0.448 0.268 0.181
Sc12 0.282 0.957 0.675
```

Summary:
For the magnetic moment, the calculation gives 0.00 μB/f.u. The value obtained for the formation energy is -2.82 eV per formula unit.

=====

Record 3
Below is an optimized crystal structure of Sc4CuPd, with properties calculated at the PBE level.

Structure (CIF):
```
data_Sc4CuPd
_chemical_formula_sum 'Sc4 Cu1 Pd1'
_space_group_name_H-M_alt 'P 1'
_space_group_IT_number 1
_cell_length_a 4.561
_cell_length_b 4.562
_cell_length_c 6.437
_cell_angle_alpha 90.00
_cell_angle_beta 90.00
_cell_angle_gamma 90.00
loop_
_space_group_symop_operation_xyz
'x,y,z'
loop_
_atom_site_label
_atom_site_fract_x
_atom_site_fract_y
_atom_site_fract_z
Sc1 0.501 0.997 0.253
Sc2 0.001 0.497 0.253
Sc3 0.001 0.498 0.743
Pd1 0.501 0.497 0.998
Sc4 0.501 0.998 0.743
Cu1 0.001 0.997 0.498
```

Summary:
For the magnetic moment, the calculation gives 0.00 μB/f.u. The value obtained for the formation energy is -1.15 eV per formula unit.

=====

Record 4
Below is an optimized crystal structure of Sc2Cu3Pd, with properties calculated at the PBE level.

Structure (CIF):
```
data_Sc2Cu3Pd
_chemical_formula_sum 'Sc4 Cu6 Pd2'
_space_group_name_H-M_alt 'P 1'
_space_group_IT_number 1
_cell_length_a 4.968
_cell_length_b 4.968
_cell_length_c 8.738
_cell_angle_alpha 99.77
_cell_angle_beta 99.77
_cell_angle_gamma 113.02
loop_
_space_group_symop_operation_xyz
'x,y,z'
loop_
_atom_site_label
_atom_site_fract_x
_atom_site_fract_y
_atom_site_fract_z
Pd1 0.875 0.125 0.750
Sc1 0.306 0.055 0.612
Sc2 0.694 0.945 0.388
Pd2 0.125 0.875 0.250
Cu1 0.623 0.377 0.250
Cu2 0.780 0.530 0.560
Cu3 0.220 0.470 0.440
Sc3 0.055 0.306 0.112
Cu4 0.377 0.623 0.750
Cu5 0.470 0.220 0.940
Sc4 0.945 0.694 0.888
Cu6 0.530 0.780 0.060
```

Summary:
For the magnetic moment, the calculation gives 0.00 μB/f.u. The value obtained for the formation energy is -2.07 eV per formula unit.

=====

Record 5
Below is an optimized crystal structure of ScCu2Pd5, with properties calculated at the PBE level.

Structure (CIF):
```
data_ScCu2Pd5
_chemical_formula_sum 'Sc2 Cu4 Pd10'
_space_group_name_H-M_alt 'P 1'
_space_group_IT_number 1
_cell_length_a 4.026
_cell_length_b 5.498
_cell_length_c 10.908
_cell_angle_alpha 90.00
_cell_angle_beta 90.00
_cell_angle_gamma 90.00
loop_
_space_group_symop_operation_xyz
'x,y,z'
loop_
_atom_site_label
_atom_site_fract_x
_atom_site_fract_y
_atom_site_fract_z
Pd1 0.500 0.724 0.881
Pd2 0.500 0.224 0.619
Pd3 0.000 0.500 0.500
Pd4 0.500 0.276 0.119
Pd5 0.000 0.000 0.000
Pd6 0.500 0.776 0.381
Sc1 0.000 0.500 0.000
Pd7 0.000 0.539 0.245
Cu1 0.500 0.785 0.132
Pd8 0.000 0.961 0.745
Cu2 0.500 0.215 0.868
Pd9 0.000 0.461 0.755
Sc2 0.000 0.000 0.500
Cu3 0.500 0.715 0.632
Pd10 0.000 0.039 0.255
Cu4 0.500 0.285 0.368
```

Summary:
For the magnetic moment, the calculation gives 0.00 μB/f.u. The value obtained for the formation energy is -3.38 eV per formula unit. The relative energy among the computed polymorphs is 0 meV per atom.

=====

Record 6
Below is an optimized crystal structure of Sc6CuPd3, with properties calculated at the PBE level.

Structure (CIF):
```
data_Sc6CuPd3
_chemical_formula_sum 'Sc12 Cu2 Pd6'
_space_group_name_H-M_alt 'P 1'
_space_group_IT_number 1
_cell_length_a 4.627
_cell_length_b 8.323
_cell_length_c 10.810
_cell_angle_alpha 110.09
_cell_angle_beta 90.00
_cell_angle_gamma 90.00
loop_
_space_group_symop_operation_xyz
'x,y,z'
loop_
_atom_site_label
_atom_site_fract_x
_atom_site_fract_y
_atom_site_fract_z
Sc1 0.250 0.660 0.700
Cu1 0.250 0.935 0.627
Sc2 0.250 0.859 0.349
Sc3 0.750 0.340 0.300
Sc4 0.250 0.153 0.870
Sc5 0.750 0.504 0.885
Pd1 0.750 0.636 0.257
Sc6 0.250 0.255 0.477
Pd2 0.250 0.364 0.743
Pd3 0.250 0.540 0.402
Sc7 0.250 0.097 0.138
Pd4 0.250 0.755 0.971
Sc8 0.750 0.141 0.651
Sc9 0.750 0.847 0.130
Pd5 0.750 0.245 0.029
Sc10 0.250 0.496 0.115
Pd6 0.750 0.460 0.598
Sc11 0.750 0.745 0.523
Sc12 0.750 0.903 0.862
Cu2 0.750 0.065 0.373
```

Summary:
For the magnetic moment, the calculation gives 0.00 μB/f.u. The value obtained for the formation energy is -5.74 eV per formula unit.

=====

Record 7
Below is an optimized crystal structure of ScCu2Pd5, with properties calculated at the PBE level.

Structure (CIF):
```
data_ScCu2Pd5
_chemical_formula_sum 'Sc2 Cu4 Pd10'
_space_group_name_H-M_alt 'P 1'
_space_group_IT_number 1
_cell_length_a 6.700
_cell_length_b 6.700
_cell_length_c 7.245
_cell_angle_alpha 117.54
_cell_angle_beta 117.54
_cell_angle_gamma 90.00
loop_
_space_group_symop_operation_xyz
'x,y,z'
loop_
_atom_site_label
_atom_site_fract_x
_atom_site_fract_y
_atom_site_fract_z
Pd1 0.000 0.000 0.000
Cu1 0.642 0.142 0.000
Pd2 0.506 0.306 0.311
Pd3 0.694 0.194 0.689
Sc1 0.750 0.750 0.500
Pd4 0.006 0.506 0.311
Pd5 0.194 0.994 0.689
Pd6 0.994 0.494 0.689
Cu2 0.858 0.642 0.000
Pd7 0.494 0.694 0.689
Cu3 0.358 0.858 0.000
Pd8 0.806 0.006 0.311
Cu4 0.142 0.358 0.000
Sc2 0.250 0.250 0.500
Pd9 0.500 0.500 0.000
Pd10 0.306 0.806 0.311
```

Summary:
For the magnetic moment, the calculation gives 0.00 μB/f.u. The value obtained for the formation energy is -2.87 eV per formula unit. The relative energy among the computed polymorphs is 64 meV per atom.

=====

Record 8
Below is an optimized crystal structure of ScCuPd5, with properties calculated at the PBE level.

Structure (CIF):
```
data_ScCuPd5
_chemical_formula_sum 'Sc2 Cu2 Pd10'
_space_group_name_H-M_alt 'P 1'
_space_group_IT_number 1
_cell_length_a 6.952
_cell_length_b 6.952
_cell_length_c 11.904
_cell_angle_alpha 39.36
_cell_angle_beta 39.36
_cell_angle_gamma 59.97
loop_
_space_group_symop_operation_xyz
'x,y,z'
loop_
_atom_site_label
_atom_site_fract_x
_atom_site_fract_y
_atom_site_fract_z
Pd1 0.487 0.954 0.912
Pd2 0.046 0.513 0.588
Sc1 0.462 0.538 0.750
Pd3 0.059 0.941 0.750
Pd4 0.461 0.792 0.441
Pd5 0.954 0.487 0.412
Pd6 0.941 0.059 0.250
Pd7 0.208 0.539 0.059
Pd8 0.792 0.461 0.941
Sc2 0.538 0.462 0.250
Pd9 0.513 0.046 0.088
Cu1 0.000 0.000 0.500
Cu2 0.000 0.000 0.000
Pd10 0.539 0.208 0.559
```

Summary:
For the magnetic moment, the calculation gives 0.00 μB/f.u. The value obtained for the formation energy is -2.71 eV per formula unit. The relative energy among the computed polymorphs is 0 meV per atom.

=====

> Which value of magnetic moment does entry 1 give?

0.00 μB/f.u.